Record 1
VASP calculation (GGA-PBE) on a relaxed LiGaCuTc crystal.

Computed properties:
Symmetry: No. 216
Excess energy over the best structure of this formula in the dataset in eV/atom: 0.120

Cell: 4.2033 4.2033 4.2033 Å, 60.00 60.00 60.00°
Positions (direct):
1 Li 0.0000 0.0000 0.0000
2 Ga 0.2500 0.2500 0.2500
3 Cu 0.5000 0.5000 0.5000
4 Tc 0.7500 0.7500 0.7500



Record 2
VASP calculation (GGA-PBE) on a relaxed LiGaCuTc crystal.

Computed properties:
Symmetry: No. 216
Excess energy over the best structure of this formula in the dataset in eV/atom: 0.000

Cell: 4.1975 4.1975 4.1975 Å, 60.00 60.00 60.00°
Positions (direct):
1 Li 0.0000 0.0000 0.0000
2 Ga 0.5000 0.5000 0.5000
3 Cu 0.7500 0.7500 0.7500
4 Tc 0.2500 0.2500 0.2500



Record 3
VASP calculation (GGA-PBE) on a relaxed LiGa2CuTe4 crystal.

Computed properties:
Symmetry: No. 82

Cell: 7.4662 7.4662 7.4662 Å, 130.77 130.77 72.19°
Positions (direct):
1 Li 0.0000 0.0000 0.0000
2 Ga 0.2500 0.7500 0.5000
3 Ga 0.5000 0.5000 0.0000
4 Cu 0.7500 0.2500 0.5000
5 Te 0.1203 0.6128 0.9900
6 Te 0.3872 0.3772 0.5075
7 Te 0.6228 0.1303 0.0100
8 Te 0.8697 0.8797 0.4925



Record 4
VASP calculation (GGA-PBE) on a relaxed LiGaCuW crystal.

Computed properties:
Symmetry: No. 216
Excess energy over the best structure of this formula in the dataset in eV/atom: 0.000

Cell: 4.2840 4.2840 4.2840 Å, 60.00 60.00 60.00°
Positions (direct):
1 Li 0.0000 0.0000 0.0000
2 Ga 0.5000 0.5000 0.5000
3 Cu 0.7500 0.7500 0.7500
4 W 0.2500 0.2500 0.2500



Record 5
VASP calculation (GGA-PBE) on a relaxed LiGaCuW crystal.

Computed properties:
Symmetry: No. 216
Excess energy over the best structure of this formula in the dataset in eV/atom: 0.040

Cell: 4.2514 4.2514 4.2514 Å, 60.00 60.00 60.00°
Positions (direct):
1 Li 0.0000 0.0000 0.0000
2 Ga 0.2500 0.2500 0.2500
3 Cu 0.5000 0.5000 0.5000
4 W 0.7500 0.7500 0.7500



Record 6
VASP calculation (GGA-PBE) on a relaxed LiZnGa2Cu4 crystal.

Computed properties:
Symmetry: No. 123

Cell: 4.1723 4.1723 5.9073 Å, 90.00 90.00 90.00°
Positions (direct):
1 Li 0.0000 0.0000 0.0000
2 Zn 0.5000 0.5000 0.5000
3 Ga 0.0000 0.0000 0.5000
4 Ga 0.5000 0.5000 0.0000
5 Cu 0.0000 0.5000 0.2476
6 Cu 0.0000 0.5000 0.7524
7 Cu 0.5000 0.0000 0.2476
8 Cu 0.5000 0.0000 0.7524



Record 7
VASP calculation (GGA-PBE) on a relaxed Lu2GaCu crystal.

Computed properties:
Symmetry: No. 216

Cell: 4.8767 4.8767 4.8767 Å, 60.00 60.00 60.00°
Positions (direct):
1 Lu 0.0000 0.0000 0.0000
2 Lu 0.2500 0.2500 0.2500
3 Ga 0.5000 0.5000 0.5000
4 Cu 0.7500 0.7500 0.7500



Record 8
VASP calculation (GGA-PBE) on a relaxed LuGaCu2 crystal.

Computed properties:
Symmetry: No. 216

Cell: 4.4902 4.4902 4.4902 Å, 60.00 60.00 60.00°
Positions (direct):
1 Lu 0.0000 0.0000 0.0000
2 Ga 0.7500 0.7500 0.7500
3 Cu 0.2500 0.2500 0.2500
4 Cu 0.5000 0.5000 0.5000



Record 9
VASP calculation (GGA-PBE) on a relaxed LuGa2Cu crystal.

Computed properties:
Symmetry: No. 216

Cell: 4.6193 4.6193 4.6193 Å, 60.00 60.00 60.00°
Positions (direct):
1 Lu 0.0000 0.0000 0.0000
2 Ga 0.5000 0.5000 0.5000
3 Ga 0.7500 0.7500 0.7500
4 Cu 0.2500 0.2500 0.2500



Record 10
VASP calculation (GGA-PBE) on a relaxed Lu3Ga8Cu3 crystal.

Computed properties:
Symmetry: No. 71

Cell: 7.9824 7.9824 7.9824 Å, 149.73 107.11 80.92°
Positions (direct):
1 Lu 0.0000 0.0000 0.0000
2 Lu 0.3065 0.3065 0.0000
3 Lu 0.6935 0.6935 0.0000
4 Ga 0.0231 0.6564 0.3668
5 Ga 0.1597 0.8702 0.2895
6 Ga 0.2896 0.6564 0.6332
7 Ga 0.4192 0.1298 0.2895
8 Ga 0.5808 0.8702 0.7105
9 Ga 0.7104 0.3436 0.3668
10 Ga 0.8403 0.1298 0.7105
11 Ga 0.9769 0.3436 0.6332
12 Cu 0.3073 0.5000 0.8073
13 Cu 0.5000 0.0000 0.5000
14 Cu 0.6927 0.5000 0.1927



Record 11
VASP calculation (GGA-PBE) on a relaxed LuMgGaCu crystal.

Computed properties:
Symmetry: No. 216
Excess energy over the best structure of this formula in the dataset in eV/atom: 0.000

Cell: 4.6855 4.6855 4.6855 Å, 60.00 60.00 60.00°
Positions (direct):
1 Lu 0.0000 0.0000 0.0000
2 Mg 0.2500 0.2500 0.2500
3 Ga 0.5000 0.5000 0.5000
4 Cu 0.7500 0.7500 0.7500



Record 12
VASP calculation (GGA-PBE) on a relaxed LuMgGaCu crystal.

Computed properties:
Symmetry: No. 216
Excess energy over the best structure of this formula in the dataset in eV/atom: 0.021

Cell: 4.6820 4.6820 4.6820 Å, 60.00 60.00 60.00°
Positions (direct):
1 Lu 0.0000 0.0000 0.0000
2 Mg 0.7500 0.7500 0.7500
3 Ga 0.2500 0.2500 0.2500
4 Cu 0.5000 0.5000 0.5000



Record 13
VASP calculation (GGA-PBE) on a relaxed LuGaCuMo crystal.

Computed properties:
Symmetry: No. 216
Excess energy over the best structure of this formula in the dataset in eV/atom: 0.218

Cell: 4.6370 4.6370 4.6370 Å, 60.00 60.00 60.00°
Positions (direct):
1 Lu 0.0000 0.0000 0.0000
2 Ga 0.2500 0.2500 0.2500
3 Cu 0.5000 0.5000 0.5000
4 Mo 0.7500 0.7500 0.7500



Record 14
VASP calculation (GGA-PBE) on a relaxed LuGaCuMo crystal.

Computed properties:
Symmetry: No. 216
Excess energy over the best structure of this formula in the dataset in eV/atom: 0.000

Cell: 4.5747 4.5747 4.5747 Å, 60.00 60.00 60.00°
Positions (direct):
1 Lu 0.0000 0.0000 0.0000
2 Ga 0.5000 0.5000 0.5000
3 Cu 0.7500 0.7500 0.7500
4 Mo 0.2500 0.2500 0.2500



Record 15
VASP calculation (GGA-PBE) on a relaxed LuNbGaCu crystal.

Computed properties:
Symmetry: No. 216
Excess energy over the best structure of this formula in the dataset in eV/atom: 0.000

Cell: 4.6963 4.6963 4.6963 Å, 60.00 60.00 60.00°
Positions (direct):
1 Lu 0.0000 0.0000 0.0000
2 Nb 0.2500 0.2500 0.2500
3 Ga 0.5000 0.5000 0.5000
4 Cu 0.7500 0.7500 0.7500



Record 16
VASP calculation (GGA-PBE) on a relaxed LuGaCuOs crystal.

Computed properties:
Symmetry: No. 216
Excess energy over the best structure of this formula in the dataset in eV/atom: 0.278

Cell: 4.5546 4.5546 4.5546 Å, 60.00 60.00 60.00°
Positions (direct):
1 Lu 0.0000 0.0000 0.0000
2 Ga 0.2500 0.2500 0.2500
3 Cu 0.5000 0.5000 0.5000
4 Os 0.7500 0.7500 0.7500



Record 17
VASP calculation (GGA-PBE) on a relaxed LuGaCuOs crystal.

Computed properties:
Symmetry: No. 216
Excess energy over the best structure of this formula in the dataset in eV/atom: 0.000

Cell: 4.5146 4.5146 4.5146 Å, 60.00 60.00 60.00°
Positions (direct):
1 Lu 0.0000 0.0000 0.0000
2 Ga 0.5000 0.5000 0.5000
3 Cu 0.7500 0.7500 0.7500
4 Os 0.2500 0.2500 0.2500



Record 18
VASP calculation (GGA-PBE) on a relaxed LuGaCuPd crystal.

Computed properties:
Symmetry: No. 186
Excess energy over the best structure of this formula in the dataset in eV/atom: 0.001

Cell: 4.3442 4.3442 8.5977 Å, 90.00 90.00 120.00°
Positions (direct):
1 Lu 0.3333 0.6667 0.0000
2 Lu 0.6667 0.3333 0.5000
3 Ga 0.0000 0.0000 0.2521
4 Ga 0.0000 0.0000 0.7521
5 Cu 0.3333 0.6667 0.6687
6 Cu 0.6667 0.3333 0.1687
7 Pd 0.3333 0.6667 0.3358
8 Pd 0.6667 0.3333 0.8358



Record 19
VASP calculation (GGA-PBE) on a relaxed LuGaCuPd crystal.

Computed properties:
Symmetry: No. 164
Excess energy over the best structure of this formula in the dataset in eV/atom: 0.000

Cell: 4.3333 4.3333 8.6210 Å, 90.00 90.00 120.00°
Positions (direct):
1 Lu 0.3333 0.6667 0.2472
2 Lu 0.6667 0.3333 0.7528
3 Ga 0.0000 0.0000 0.0000
4 Ga 0.0000 0.0000 0.5000
5 Cu 0.3333 0.6667 0.9198
6 Cu 0.6667 0.3333 0.0802
7 Pd 0.3333 0.6667 0.5908
8 Pd 0.6667 0.3333 0.4092



Record 20
VASP calculation (GGA-PBE) on a relaxed Lu2Ga2CuPd3 crystal.

Computed properties:
Symmetry: No. 156

Cell: 4.3651 4.3651 8.7198 Å, 90.00 90.00 120.00°
Positions (direct):
1 Lu 0.0000 0.0000 0.0000
2 Lu 0.3333 0.6667 0.5007
3 Ga 0.6667 0.3333 0.2522
4 Ga 0.6667 0.3333 0.7519
5 Cu 0.0000 0.0000 0.6687
6 Pd 0.0000 0.0000 0.3436
7 Pd 0.3333 0.6667 0.1678
8 Pd 0.3333 0.6667 0.8267



The following electronic total energy values (in eV/atom) correspond, in order, to the records above: -4.55, -4.67, -3.48, -4.95, -4.91, -3.16, -3.91, -3.99, -3.85, -3.93, -3.35, -3.33, -5.10, -5.32, -5.12, -5.47, -5.75, -4.76, -4.76, -5.07.